# 1
Density functional theory data (GGA-PBE) for a geometry-optimized LaCe3Os2 structure.

Results
The formation energy comes out at -0.082 eV/atom. As for the symmetry: No. 12.

extended XYZ file:
```
12
Lattice="8.509 -2.240 0.000 8.509 2.240 0.000 -4.104 0.000 7.518" Properties=species:S:1:pos:R:3 pbc="T T T"
La 1.734 0.000 0.135
La 11.179 0.000 7.383
Ce -0.345 0.000 3.180
Ce 2.260 0.000 4.842
Ce 5.175 0.000 2.341
Ce 7.738 0.000 5.177
Ce 10.653 0.000 2.676
Ce 13.259 0.000 4.338
Os 0.282 0.000 6.698
Os 4.798 0.000 5.982
Os 8.116 0.000 1.536
Os 12.632 0.000 0.820
```

=====

# 2
Density functional theory data (GGA-PBE) for a geometry-optimized TlGaPb3 structure.

Results
The formation energy comes out at 0.285 eV/atom. As for the symmetry: No. 221.

extended XYZ file:
```
5
Lattice="5.588 0.000 0.000 0.000 5.588 0.000 0.000 0.000 5.588" Properties=species:S:1:pos:R:3 pbc="T T T"
Tl 0.000 0.000 0.000
Ga 2.794 2.794 2.794
Pb 0.000 2.794 2.794
Pb 2.794 0.000 2.794
Pb 2.794 2.794 0.000
```